[1]
First-principles (SCAN) data for a PBEsol-optimized structure of ZrAs2Ru, as listed in Alexandria. Values from VASP.

Quantum ESPRESSO input file:
```
&SYSTEM
  ibrav = 0, nat = 4, ntyp = 3
/
ATOMIC_SPECIES
As 74.92 As.upf
Ru 101.07 Ru.upf
Zr 91.22 Zr.upf
ATOMIC_POSITIONS angstrom
As 0.0000 0.0000 4.8612
As 0.0000 0.0000 1.8371
Ru 1.3018 1.5574 3.3492
Zr 1.3018 1.5574 0.0000
CELL_PARAMETERS angstrom
3.1266 0.0322 0.0000
-0.5230 3.0827 0.0000
0.0000 0.0000 6.6983
```

Calculated values
Density: 8.78 Mg/m³
E above lowest polymorph: 0.3099 eV per atom



[2]
First-principles (SCAN) data for a PBEsol-optimized structure of NaLiBr2, as listed in Alexandria. Values from VASP.

Quantum ESPRESSO input file:
```
&SYSTEM
  ibrav = 0, nat = 4, ntyp = 3
/
ATOMIC_SPECIES
Br 79.90 Br.upf
Li 6.94 Li.upf
Na 22.99 Na.upf
ATOMIC_POSITIONS angstrom
Br 0.8116 -7.6458 5.1832
Li 0.0000 0.0000 0.0000
Na 0.5411 -5.0972 3.4555
Br 0.2705 -2.5486 1.7277
CELL_PARAMETERS angstrom
-1.9964 -2.6151 3.8278
0.0718 -5.0462 -0.0823
3.0067 -2.5331 3.1654
```

Calculated values
Density: 3.47 Mg/m³
Formation energy from raw total energies: -1.498 eV per atom
E above lowest polymorph: 0.1826 eV per atom



> What is the formula in the first record?

ZrAs2Ru



> Number 2 is which compound?

NaLiBr2